Record 1
! LaFe2Tc, relaxed, DFT GGA-PBEsol; values from VASP
! formation energy from the elements	562	meV per atom
! offset from the most stable computed form	0.335	eV/atom
! symmetry	No. 225
! theoretical density	9327	kg/m3
&SYSTEM
  ibrav = 0, nat = 4, ntyp = 3
/
ATOMIC_SPECIES
La 138.91 La.upf
Fe 55.84 Fe.upf
Tc 98.00 Tc.upf
CELL_PARAMETERS angstrom
0.000 3.142 3.142
3.142 0.000 3.142
3.142 3.142 0.000
ATOMIC_POSITIONS crystal
La 0.000 0.000 0.000
Fe 0.250 0.250 0.250
Fe 0.750 0.750 0.750
Tc 0.500 0.500 0.500


Record 2
! LaFe2Tc, relaxed, DFT GGA-PBEsol; values from VASP
! formation energy from the elements	338	meV per atom
! offset from the most stable computed form	0.110	eV/atom
! symmetry	No. 99
! theoretical density	9074	kg/m3
&SYSTEM
  ibrav = 0, nat = 4, ntyp = 3
/
ATOMIC_SPECIES
La 138.91 La.upf
Fe 55.84 Fe.upf
Tc 98.00 Tc.upf
CELL_PARAMETERS angstrom
2.969 0.000 0.000
0.000 2.969 0.000
0.000 0.000 7.239
ATOMIC_POSITIONS crystal
La 0.000 0.000 0.000
Fe 0.000 0.000 0.520
Fe 0.500 0.500 0.689
Tc 0.500 0.500 0.336


Record 3
! LaFe2Tc, relaxed, DFT GGA-PBEsol; values from VASP
! formation energy from the elements	228	meV per atom
! offset from the most stable computed form	0.000	eV/atom
! symmetry	No. 160
! theoretical density	7862	kg/m3
&SYSTEM
  ibrav = 0, nat = 4, ntyp = 3
/
ATOMIC_SPECIES
La 138.91 La.upf
Fe 55.84 Fe.upf
Tc 98.00 Tc.upf
CELL_PARAMETERS angstrom
2.029 1.172 5.162
-2.029 1.172 5.162
0.000 -2.343 5.162
ATOMIC_POSITIONS crystal
La 0.000 0.000 0.000
Fe 0.489 0.489 0.489
Fe 0.812 0.812 0.812
Tc 0.191 0.191 0.191


Record 4
! La3FeTe, relaxed, DFT GGA-PBEsol; values from VASP
! symmetry	No. 221
! theoretical density	7291	kg/m3
! calculated total energy	-6.22	eV/atom
&SYSTEM
  ibrav = 0, nat = 5, ntyp = 3
/
ATOMIC_SPECIES
La 138.91 La.upf
Fe 55.84 Fe.upf
Te 127.60 Te.upf
CELL_PARAMETERS angstrom
5.151 0.000 0.000
0.000 5.151 0.000
0.000 0.000 5.151
ATOMIC_POSITIONS crystal
La 0.000 0.000 0.500
La 0.000 0.500 0.000
La 0.500 0.000 0.000
Fe 0.000 0.000 0.000
Te 0.500 0.500 0.500